An optimized crystal structure of SrTaTe2, computed with PBEsol.

Computed properties:
space-group type: Cm, No. 8
ΔE to the lowest computed polymorph: 0.22 eV/f.u.
ΔE_f (raw): -0.424 eV per atom
final energy: -5.7847 eV per atom

Geometry as POSCAR:
```
SrTaTe2
1.0
-3.637 0.425 1.124
1.107 -4.404 -1.278
2.257 0.795 7.000
Sr Te Ta
1 2 1
Direct
0.458 0.916 0.483
0.067 0.133 0.181
0.238 0.476 0.781
0.737 0.475 0.055
```